[1]
## Y3C (GGA-PBE)

Data for crystalline Y3C at its relaxed geometry.

a = 7.7029 Å, b = 7.7029 Å, c = 3.4665 Å
α = 90.00°, β = 90.00°, γ = 104.24°
Closest atoms and distances in Å follow each position.
Element x y z (fractional)
1 Y 0.1324 0.8676 0.7500  2 C 2.42
2 Y 0.1928 0.4678 0.7500  2 C 2.61
3 Y 0.4678 0.1928 0.2500  2 C 2.61
4 Y 0.5322 0.8072 0.7500  2 C 2.61
5 Y 0.8072 0.5322 0.2500  2 C 2.61
6 Y 0.8676 0.1324 0.2500  2 C 2.42
7 C 0.2708 0.7292 0.2500  6 Y 2.42-2.61
8 C 0.7292 0.2708 0.7500  6 Y 2.42-2.61

Output
total DFT energy (no corrections) = -56.57 eV/cell
space group = Cmcm (63)
magnetic moment = 0.28 μB per formula unit


[2]
## YC2 (GGA-PBE)

Data for crystalline YC2 at its relaxed geometry.

a = 3.8784 Å, b = 3.8784 Å, c = 12.7560 Å
α = 90.00°, β = 90.00°, γ = 120.00°
Closest atoms and distances in Å follow each position.
Element x y z (fractional)
1 Y 0.0000 0.0000 0.0000  6 C 2.52
2 Y 0.3333 0.6667 0.3799  4 C 2.39-2.42
3 Y 0.6667 0.3333 0.6201  4 C 2.39-2.42
4 C 0.0000 0.0000 0.4460  1 C 1.38
5 C 0.0000 0.0000 0.5540  1 C 1.38
6 C 0.3333 0.6667 0.0908  1 C 1.26
7 C 0.3333 0.6667 0.1898  1 C 1.26
8 C 0.6667 0.3333 0.8102  1 C 1.26
9 C 0.6667 0.3333 0.9092  1 C 1.26

Output
total DFT energy (no corrections) = -73.03 eV/cell
space group = P-3m1 (164)
magnetic moment = 0.00 μB per formula unit


[3]
## Y3C2 (GGA-PBE)

Data for crystalline Y3C2 at its relaxed geometry.

a = 9.6244 Å, b = 9.6244 Å, c = 9.6244 Å
α = 21.78°, β = 21.78°, γ = 21.78°
Closest atoms and distances in Å follow each position.
Element x y z (fractional)
1 Y 0.0000 0.0000 0.0000  6 C 2.64
2 Y 0.2361 0.2361 0.2361  3 C 2.39
3 Y 0.7639 0.7639 0.7639  3 C 2.39
4 C 0.3901 0.3901 0.3901  6 Y 2.39-2.64
5 C 0.6099 0.6099 0.6099  6 Y 2.39-2.64

Output
total DFT energy (no corrections) = -39.22 eV/cell
space group = R-3m (166)
magnetic moment = 0.00 μB per formula unit


[4]
## Y3C (GGA-PBE)

Data for crystalline Y3C at its relaxed geometry.

a = 9.2561 Å, b = 9.2561 Å, c = 3.2769 Å
α = 90.00°, β = 90.00°, γ = 120.00°
Closest atoms and distances in Å follow each position.
Element x y z (fractional)
1 Y 0.2186 0.4371 0.2500  2 C 2.46
2 Y 0.2186 0.7814 0.2500  2 C 2.46
3 Y 0.4371 0.2186 0.7500  2 C 2.46
4 Y 0.5629 0.7814 0.2500  2 C 2.46
5 Y 0.7814 0.2186 0.7500  2 C 2.46
6 Y 0.7814 0.5629 0.7500  2 C 2.46
7 C 0.3333 0.6667 0.7500  6 Y 2.46
8 C 0.6667 0.3333 0.2500  6 Y 2.46

Output
total DFT energy (no corrections) = -54.78 eV/cell
space group = P6_3/mmc (194)
magnetic moment = 0.00 μB per formula unit


[5]
## YC2 (GGA-PBE)

Data for crystalline YC2 at its relaxed geometry.

a = 5.2339 Å, b = 2.7808 Å, c = 9.5274 Å
α = 90.00°, β = 90.00°, γ = 90.00°
Closest atoms and distances in Å follow each position.
Element x y z (fractional)
1 Y 0.2435 0.2500 0.1228  10 C 2.54-2.64, 2 Y 2.78
2 Y 0.2565 0.7500 0.6228  10 C 2.54-2.64, 2 Y 2.78
3 Y 0.7435 0.2500 0.3772  10 C 2.54-2.64, 2 Y 2.78
4 Y 0.7565 0.7500 0.8772  10 C 2.54-2.64, 2 Y 2.78
5 C 0.1645 0.2500 0.8506  2 C 1.54
6 C 0.2445 0.2500 0.3996  2 C 1.54
7 C 0.2555 0.7500 0.8996  2 C 1.54
8 C 0.3355 0.7500 0.3506  2 C 1.54
9 C 0.6645 0.2500 0.6494  2 C 1.54
10 C 0.7445 0.2500 0.1004  2 C 1.54
11 C 0.7555 0.7500 0.6004  2 C 1.54
12 C 0.8355 0.7500 0.1494  2 C 1.54

Output
total DFT energy (no corrections) = -97.49 eV/cell
space group = Pnma (62)
magnetic moment = 0.00 μB per formula unit


[6]
## Y5C (GGA-PBE)

Data for crystalline Y5C at its relaxed geometry.

a = 3.3200 Å, b = 3.3200 Å, c = 14.1715 Å
α = 90.00°, β = 90.00°, γ = 90.00°
Closest atoms and distances in Å follow each position.
Element x y z (fractional)
1 Y 0.0000 0.0000 0.0000  12 Y 3.32-3.60
2 Y 0.0000 0.0000 0.4035  4 C 2.72, 1 Y 2.74
3 Y 0.0000 0.0000 0.5965  4 C 2.72, 1 Y 2.74
4 Y 0.5000 0.5000 0.1922  8 Y 3.32-3.60
5 Y 0.5000 0.5000 0.8078  8 Y 3.32-3.60
6 C 0.5000 0.5000 0.5000  8 Y 2.72

Output
total DFT energy (no corrections) = -40.27 eV/cell
space group = P4/mmm (123)
magnetic moment = 0.00 μB per formula unit


[7]
## Y5C (GGA-PBE)

Data for crystalline Y5C at its relaxed geometry.

a = 6.1154 Å, b = 6.1154 Å, c = 8.4960 Å
α = 103.06°, β = 103.06°, γ = 32.44°
Closest atoms and distances in Å follow each position.
Element x y z (fractional)
1 Y 0.0000 0.0000 0.0000  2 C 2.50
2 Y 0.0838 0.0838 0.3896  2 C 2.62
3 Y 0.2818 0.2818 0.1907  2 C 2.50
4 Y 0.3957 0.3957 0.6202  11 Y 3.42-3.73
5 Y 0.6922 0.6922 0.8051  10 Y 3.42-3.62, 1 C 3.43
6 C 0.6236 0.6236 0.1755  6 Y 2.50-2.62

Output
total DFT energy (no corrections) = -41.16 eV/cell
space group = Cm (8)
magnetic moment = 0.42 μB per formula unit


[8]
## Y3C (GGA-PBE)

Data for crystalline Y3C at its relaxed geometry.

a = 12.1624 Å, b = 12.1624 Å, c = 12.1624 Å
α = 160.41°, β = 160.41°, γ = 27.85°
Closest atoms and distances in Å follow each position.
Element x y z (fractional)
1 Y 0.0000 0.5000 0.5000  4 C 2.62, 4 Y 2.93
2 Y 0.1164 0.1164 0.0000  4 C 3.14, 4 Y 3.44
3 Y 0.2500 0.7500 0.5000  4 Y 2.93
4 Y 0.5000 0.0000 0.5000  4 C 2.62, 4 Y 2.93
5 Y 0.7500 0.2500 0.5000  4 Y 2.93
6 Y 0.8836 0.8836 0.0000  4 C 3.14, 4 Y 3.44
7 C 0.4322 0.4322 0.0000  4 Y 2.62
8 C 0.5678 0.5678 0.0000  4 Y 2.62

Output
total DFT energy (no corrections) = -51.72 eV/cell
space group = I4/mmm (139)
magnetic moment = 0.00 μB per formula unit


Quick rundown of energy relative to the lowest polymorph listed for this composition, same order as above: 247 373 6 470 363 149 0 852 meV/atom